# 1
## Nd4In12Pt (GGA-PBE)

Data for a relaxed Nd4In12Pt crystal.

Cell lengths 8.248, 8.248, 8.248 Å; angles 109.47, 109.47, 109.47 degrees
Sites, in units of the cell vectors:
1 Nd 0.000 0.000 0.500
2 Nd 0.000 0.500 0.000
3 Nd 0.500 0.000 0.000
4 Nd 0.500 0.500 0.500
5 In 0.000 0.285 0.285
6 In 0.000 0.715 0.715
7 In 0.250 0.500 0.750
8 In 0.250 0.750 0.500
9 In 0.285 0.000 0.285
10 In 0.285 0.285 0.000
11 In 0.500 0.250 0.750
12 In 0.500 0.750 0.250
13 In 0.715 0.000 0.715
14 In 0.715 0.715 0.000
15 In 0.750 0.250 0.500
16 In 0.750 0.500 0.250
17 Pt 0.000 0.000 0.000

Properties
- ΔE_f (kJ/mol of atoms) = -47.51
- space group = No. 229

---

# 2
## PmCoSnRh (GGA-PBE)

Data for a relaxed PmCoSnRh crystal.

Cell lengths 4.717, 4.717, 4.717 Å; angles 60.00, 60.00, 60.00 degrees
Sites, in units of the cell vectors:
1 Pm 0.000 0.000 0.000
2 Co 0.750 0.750 0.750
3 Sn 0.500 0.500 0.500
4 Rh 0.250 0.250 0.250

Properties
- ΔE_f (kJ/mol of atoms) = -38.94
- space group = No. 216

---

# 3
## As2PRh (GGA-PBE)

Data for a relaxed As2PRh crystal.

Cell lengths 6.284, 6.284, 6.284 Å; angles 148.54, 145.69, 47.24 degrees
Sites, in units of the cell vectors:
1 As 0.160 0.160 0.000
2 As 0.840 0.840 0.000
3 P 0.000 0.500 0.500
4 Rh 0.500 0.000 0.500

Properties
- ΔE_f (kJ/mol of atoms) = 2.04
- space group = No. 71

---

# 4
## Mg3InRh3 (GGA-PBE)

Data for a relaxed Mg3InRh3 crystal.

Cell lengths 5.435, 5.435, 5.435 Å; angles 109.57, 109.57, 109.57 degrees
Sites, in units of the cell vectors:
1 Mg 0.000 0.500 0.500
2 Mg 0.500 0.000 0.500
3 Mg 0.500 0.500 0.000
4 In 0.000 0.000 0.000
5 Rh 0.000 0.000 0.500
6 Rh 0.000 0.500 0.000
7 Rh 0.500 0.000 0.000

Properties
- ΔE_f (kJ/mol of atoms) = -47.89
- space group = No. 166

---

# 5
## Ac2DyAs4Ir3 (GGA-PBE)

Data for a relaxed Ac2DyAs4Ir3 crystal.

Cell lengths 4.458, 4.458, 10.879 Å; angles 90.00, 90.00, 90.00 degrees
Sites, in units of the cell vectors:
1 Ac 0.000 0.500 0.227
2 Ac 0.500 0.000 0.773
3 Dy 0.000 0.000 0.500
4 As 0.000 0.000 0.000
5 As 0.000 0.500 0.658
6 As 0.500 0.000 0.342
7 As 0.500 0.500 0.000
8 Ir 0.000 0.500 0.894
9 Ir 0.500 0.000 0.106
10 Ir 0.500 0.500 0.500

Properties
- ΔE_f (kJ/mol of atoms) = -83.89
- space group = No. 115

---

# 6
## YTa3Ir (GGA-PBE)

Data for a relaxed YTa3Ir crystal.

Cell lengths 4.927, 4.927, 4.927 Å; angles 90.00, 90.00, 90.00 degrees
Sites, in units of the cell vectors:
1 Y 0.000 0.000 0.000
2 Ta 0.000 0.500 0.500
3 Ta 0.500 0.000 0.500
4 Ta 0.500 0.500 0.000
5 Ir 0.500 0.500 0.500

Properties
- ΔE_f (kJ/mol of atoms) = 68.08
- space group = No. 221

---

# 7
## As2AuSBr (GGA-PBE)

Data for a relaxed As2AuSBr crystal.

Cell lengths 5.109, 5.109, 5.056 Å; angles 90.00, 90.00, 90.00 degrees
Sites, in units of the cell vectors:
1 As 0.000 0.500 0.000
2 As 0.500 0.000 0.000
3 Au 0.000 0.000 0.000
4 S 0.500 0.500 0.500
5 Br 0.000 0.000 0.500

Properties
- ΔE_f (raw) (eV/atom) = 0.942
- space group = No. 123

---

# 8
## HoTm2PuSb4 (GGA-PBE)

Data for a relaxed HoTm2PuSb4 crystal.

Cell lengths 7.557, 4.375, 7.562 Å; angles 90.00, 109.47, 90.00 degrees
Sites, in units of the cell vectors:
1 Ho 0.000 0.000 0.000
2 Tm 0.500 0.000 0.500
3 Tm 0.500 0.500 0.000
4 Pu 0.000 0.500 0.500
5 Sb 0.253 0.500 0.250
6 Sb 0.254 0.000 0.753
7 Sb 0.746 0.000 0.247
8 Sb 0.747 0.500 0.750

Properties
- ΔE_f (raw) (eV/atom) = -0.953
- space group = No. 10

---

# 9
## Y12HoTm3 (GGA-PBE)

Data for a relaxed Y12HoTm3 crystal.

Cell lengths 5.024, 5.024, 20.107 Å; angles 90.00, 90.00, 90.00 degrees
Sites, in units of the cell vectors:
1 Y 0.000 0.000 0.000
2 Y 0.000 0.000 0.250
3 Y 0.000 0.000 0.500
4 Y 0.000 0.000 0.750
5 Y 0.000 0.500 0.125
6 Y 0.000 0.500 0.375
7 Y 0.000 0.500 0.625
8 Y 0.000 0.500 0.875
9 Y 0.500 0.000 0.125
10 Y 0.500 0.000 0.375
11 Y 0.500 0.000 0.625
12 Y 0.500 0.000 0.875
13 Ho 0.500 0.500 0.000
14 Tm 0.500 0.500 0.250
15 Tm 0.500 0.500 0.500
16 Tm 0.500 0.500 0.750

Properties
- ΔE_f (kJ/mol of atoms) = 2.52
- space group = No. 123

---

# 10
## AcNd2Y5Tm (GGA-PBE)

Data for a relaxed AcNd2Y5Tm crystal.

Cell lengths 10.040, 10.040, 10.040 Å; angles 127.54, 127.54, 77.38 degrees
Sites, in units of the cell vectors:
1 Ac 0.250 0.250 0.000
2 Ac 0.750 0.750 0.000
3 Nd 0.117 0.617 0.733
4 Nd 0.383 0.117 0.500
5 Nd 0.617 0.883 0.500
6 Nd 0.883 0.383 0.267
7 Y 0.000 0.000 0.000
8 Y 0.073 0.160 0.500
9 Y 0.160 0.660 0.087
10 Y 0.340 0.427 0.500
11 Y 0.427 0.927 0.087
12 Y 0.500 0.500 0.000
13 Y 0.573 0.073 0.913
14 Y 0.660 0.573 0.500
15 Y 0.840 0.340 0.913
16 Y 0.927 0.840 0.500
17 Tm 0.250 0.750 0.500
18 Tm 0.750 0.250 0.500

Properties
- ΔE_f (kJ/mol of atoms) = 23.92
- space group = No. 140

---

# 11
## CoCuH3 (GGA-PBE)

Data for a relaxed CoCuH3 crystal.

Cell lengths 3.224, 3.224, 3.224 Å; angles 90.00, 90.00, 90.00 degrees
Sites, in units of the cell vectors:
1 Co 0.000 0.000 0.000
2 Cu 0.500 0.500 0.500
3 H 0.000 0.500 0.500
4 H 0.500 0.000 0.500
5 H 0.500 0.500 0.000

Properties
- total energy (eV/f.u.) = -18.67
- space group = No. 221

---

# 12
## Sc4Ga2C (GGA-PBE)

Data for a relaxed Sc4Ga2C crystal.

Cell lengths 7.566, 10.849, 3.340 Å; angles 90.00, 90.00, 90.00 degrees
Sites, in units of the cell vectors:
1 Sc 0.136 0.187 0.000
2 Sc 0.184 0.936 0.500
3 Sc 0.316 0.436 0.500
4 Sc 0.364 0.687 0.000
5 Sc 0.636 0.313 0.000
6 Sc 0.684 0.564 0.500
7 Sc 0.816 0.064 0.500
8 Sc 0.864 0.813 0.000
9 Ga 0.060 0.642 0.500
10 Ga 0.440 0.142 0.500
11 Ga 0.560 0.858 0.500
12 Ga 0.940 0.358 0.500
13 C 0.000 0.000 0.000
14 C 0.500 0.500 0.000

Properties
- ΔE_f (kJ/mol of atoms) = -43.79
- space group = No. 55

---

Sequential DOS at the Fermi energy output: 2.51, 1.30, 1.62, 2.03, 4.84, 8.30, 3.27, 16.17, 22.67, 19.69, 3.30, 14.97 states/eV per cell
Sequential total magnetization output: 0.00, 1.06, 0.00, 0.00, 0.00, 0.00, 0.38, 5.05, 0.00, 0.00, 0.91, 0.68 μB/cell